5
Lattice="-1.2603 -3.6140 1.5540 3.1567 -2.6262 -3.5474 3.1147 0.0801 2.7123" Properties=species:S:1:pos:R:3 comment="Be2FeIrI, relaxed, DFT GGA-PBE" raw_formation_energy_ev_per_atom=0.986 spacegroup=P4/mmm total_energy_ev_per_cell=-21.397 pbc="T T T"
I 1.5783 -1.3131 -1.7737
Be 1.5573 0.0400 1.3562
Be -0.6301 -1.8070 0.7770
Ir 0.0000 0.0000 0.0000
Fe 2.5055 -3.0800 0.3594



13
Lattice="-4.8243 -0.3336 -2.2566 -3.5572 -2.0676 7.9107 1.8784 7.5509 -2.2071" Properties=species:S:1:pos:R:3 comment="Ce8Ir2Pt3, relaxed, DFT GGA-PBE" spacegroup=C2/m delta_e_f_ev_per_atom=-0.653 total_energy_ev_per_cell=-91.805 pbc="T T T"
Ce -6.3153 0.5486 2.3289
Ce -0.1878 4.6011 1.1181
Ce -0.1114 1.7833 0.4160
Ce -6.3917 3.3664 3.0310
Ce -2.9364 4.3408 1.9954
Ce -1.3924 5.2382 -1.4382
Ce -5.1107 -0.0885 4.8853
Ce -3.5667 0.8089 1.4516
Ir -2.6073 2.8615 -0.4245
Ir -3.8958 2.2883 3.8715
Pt -2.4122 -0.1668 -1.1283
Pt -0.9236 -0.5368 2.0539
Pt -2.6336 -1.5308 5.8567



4
Lattice="5.5294 0.0134 0.0244 2.9643 4.6676 -0.0244 -3.8755 -3.0143 2.5434" Properties=species:S:1:pos:R:3 comment="Ag2MoOs, relaxed, DFT GGA-PBE" spacegroup=Immm delta_e_f_ev_per_atom=0.624 total_energy_ev_per_cell=-25.266 relative_energy_ev_per_atom=0.382 pbc="T T T"
Ag 0.0345 0.0190 0.0000
Ag 4.2123 2.3215 0.0000
Mo 2.9504 -0.3302 1.2839
Os 1.6678 1.9969 1.2595



4
Lattice="-2.0529 4.8109 -1.5635 -3.2372 2.8138 3.3774 1.8025 4.6130 2.2966" Properties=species:S:1:pos:R:3 comment="CaYLuIn, relaxed, DFT GGA-PBE" spacegroup=F-43m delta_e_f_ev_per_atom=-0.114 total_energy_ev_per_cell=-16.180 pbc="T T T"
Y 0.0000 0.0000 0.0000
Ca -0.8719 3.0594 1.0276
Lu -1.7438 6.1189 2.0553
In -2.6156 9.1783 3.0829



Asked for total magnetic moment across the records above, the calculation gives 3.262, 0.023, 0.000, 0.000 μB/f.u. in order.